A plane-wave DFT calculation with PBE was carried out for a geometry-optimized La2ZnHRu structure.

Raw total energy (eV/cell): -25.37
SG: P4/mmm (123)
Crystal system: tetragonal
N(E_F) (states/eV/cell): 2.8
Total moment (μB per cell): 0.0

abc: 5.1988 5.1988 3.7362
angles: 90.00 90.00 90.00
Fractional positions:
La1 0.0000 0.5000 0.0000
La2 0.5000 0.0000 0.0000
Zn1 0.0000 0.0000 0.5000
H1 0.5000 0.5000 0.0000
Ru1 0.5000 0.5000 0.5000